This record from the Alexandria database describes InSbPb2 after structural relaxation. The functional is GGA-PBE.

E_form (uncorrected) = 0.0492 eV per atom
distance to the lowest polymorph of the same formula = 22 meV/atom
mass density = 9.04 g/cm³
V = 29.9 A^3/atom
total DFT energy (no corrections) = -14.08 eV/cell
density of states at the Fermi level = 0.457 states/eV/atom

Lattice parameters (Å, degrees): 3.371 5.171 6.859 90.00 90.00 90.00
Fractional coordinates of all 4 atoms:
In: 0.500 0.500 0.751
Pb: 0.000 0.000 0.986
Pb: 0.500 0.500 0.269
Sb: 0.000 0.000 0.494

=====

This record from the Alexandria database describes In14SbPb after structural relaxation. The functional is GGA-PBE.

E_form (uncorrected) = 0.0217 eV per atom
mass density = 7.26 g/cm³
V = 27.7 A^3/atom
total DFT energy (no corrections) = -45.82 eV/cell
density of states at the Fermi level = 0.319 states/eV/atom

Lattice parameters (Å, degrees): 6.664 6.664 10.933 90.00 90.00 114.26
Fractional coordinates of all 16 atoms:
In: 0.175 0.825 0.000
In: 0.690 0.310 0.000
In: 0.062 0.421 0.500
In: 0.193 0.330 0.000
In: 0.579 0.938 0.500
In: 0.670 0.807 0.000
In: 0.387 0.139 0.754
In: 0.387 0.139 0.246
In: 0.861 0.613 0.754
In: 0.861 0.613 0.246
In: 0.363 0.637 0.746
In: 0.363 0.637 0.254
In: 0.883 0.117 0.756
In: 0.883 0.117 0.244
Sb: 0.569 0.431 0.500
Pb: 0.074 0.926 0.500

=====

This record from the Alexandria database describes InSbPb2 after structural relaxation. The functional is GGA-PBE.

E_form (uncorrected) = 0.0789 eV per atom
distance to the lowest polymorph of the same formula = 51 meV/atom
mass density = 9.09 g/cm³
V = 29.7 A^3/atom
total DFT energy (no corrections) = -13.96 eV/cell
density of states at the Fermi level = 0.306 states/eV/atom

Lattice parameters (Å, degrees): 11.299 11.299 11.299 17.90 17.90 17.90
Fractional coordinates of all 4 atoms:
In: 0.750 0.750 0.750
Pb: 0.998 0.998 0.998
Pb: 0.502 0.502 0.502
Sb: 0.250 0.250 0.250